[1]
{"formula": "Li2NdMgPd4", "functional": "PBE", "state": "relaxed", "rho_g_cm3": 7.28, "dos_at_fermi_per_ev_atom": 0.540, "total_energy_ev_per_atom": -4.455, "total_magnetization_mub_per_cell": 0.000, "delta_e_f_mev_per_atom": -585, "lattice": [[0.000, 1.016, 4.309], [2.655, -2.184, 2.789], [6.783, 5.121, 1.067]], "species": ["Li", "Nd", "Pd", "Li", "Pd", "Mg", "Pd", "Pd"], "frac_coords": [[0.762, 0.762, 0.714], [0.000, 0.000, 0.000], [0.126, 0.126, 0.621], [0.238, 0.238, 0.286], [0.606, 0.606, 0.181], [0.500, 0.500, 0.500], [0.874, 0.874, 0.379], [0.394, 0.394, 0.819]]}


[2]
{"formula": "LiPmNdMg", "functional": "PBE", "state": "relaxed", "rho_g_cm3": 4.64, "dos_at_fermi_per_ev_atom": 1.366, "total_energy_ev_per_atom": -3.241, "total_magnetization_mub_per_cell": 0.001, "delta_e_f_mev_per_atom": 16, "lattice": [[5.452, 0.000, 0.000], [2.726, 4.722, 0.000], [2.726, 1.574, 4.452]], "species": ["Li", "Mg", "Nd", "Pm"], "frac_coords": [[0.500, 0.500, 0.500], [0.000, 0.000, 0.000], [0.750, 0.750, 0.750], [0.250, 0.250, 0.250]]}